# CrTe2NF (PBE with a Hubbard U, optimized geometry)
data_CrTe2NF
_space_group_name_H-M_alt 'P 4/m m m'
_space_group_IT_number 123
_space_group_name_Hall '-P 4 2'
_cell_length_a 4.8173
_cell_length_b 4.8173
_cell_length_c 4.0636
_cell_angle_alpha 90.00
_cell_angle_beta 90.00
_cell_angle_gamma 90.00
loop_
_atom_site_label
_atom_site_type_symbol
_atom_site_fract_x
_atom_site_fract_y
_atom_site_fract_z
_atom_site_occupancy
Cr1 Cr 0.0000 0.0000 0.0000 1
Te1 Te 0.0000 0.5000 0.5000 1
N1 N 0.5000 0.5000 0.0000 1
F1 F 0.5000 0.5000 0.5000 1
# Electronic total energy in eV/cell: -19.1
# Energy above the most stable polymorph in this dataset in eV/atom: 0.5754
# Magnetization in μB per formula unit: 4.40